Record 1
# HfAlTl2, optimized geometry, DFT PBE
data_HfAlTl2
_chemical_formula_sum 'Hf4 Al4 Tl8'
_symmetry_space_group_name_H-M 'F m -3 m'
_symmetry_Int_Tables_number 225
_symmetry_space_group_name_Hall '-F 4 2 3'
_cell_length_a 7.224
_cell_length_b 7.224
_cell_length_c 7.224
_cell_angle_alpha 90.00
_cell_angle_beta 90.00
_cell_angle_gamma 90.00
loop_
_atom_site_label
_atom_site_type_symbol
_atom_site_fract_x
_atom_site_fract_y
_atom_site_fract_z
Hf1 Hf 0.000 0.000 0.000
Al1 Al 0.000 0.000 0.500
Tl1 Tl 0.250 0.250 0.250
# ρ = 10.823 g cm⁻³
# energy relative to the elements = 473.6 meV/atom
# D(E_F) = 1.10 states/eV per atom
# VASP energy = -4.134 eV/atom

---

Record 2
# ScFe2Pt, optimized geometry, DFT PBE
data_ScFe2Pt
_chemical_formula_sum 'Sc2 Fe4 Pt2'
_symmetry_space_group_name_H-M 'C 1 2/m 1'
_symmetry_Int_Tables_number 12
_symmetry_space_group_name_Hall '-C 2y'
_cell_length_a 5.260
_cell_length_b 8.758
_cell_length_c 2.795
_cell_angle_alpha 90.00
_cell_angle_beta 112.62
_cell_angle_gamma 90.00
loop_
_atom_site_label
_atom_site_type_symbol
_atom_site_fract_x
_atom_site_fract_y
_atom_site_fract_z
Sc1 Sc 0.000 0.000 0.000
Fe1 Fe 0.250 0.250 0.500
Pt1 Pt 0.000 0.500 0.000
# ρ = 9.829 g cm⁻³
# energy relative to the elements = -204.4 meV/atom
# D(E_F) = 0.68 states/eV per atom
# VASP energy = -7.529 eV/atom